# 1
Here is an optimized crystal structure of Rb2BaZrBr from Alexandria. Energies are from GGA-PBE.

Cell lengths 6.748, 5.485, 6.748 Å; angles 90.00, 90.00, 90.00 degrees
Atoms (fractional coordinates):
Rb  0.000  0.000  0.500
Rb  0.500  0.000  0.000
Br  0.000  0.000  0.000
Ba  0.500  0.500  0.500
Zr  0.000  0.500  0.000

=====

# 2
Here is an optimized crystal structure of BaReBr2 from Alexandria. Energies are from GGA-PBE.

Cell lengths 9.894, 9.894, 9.894 Å; angles 28.52, 28.52, 28.52 degrees
Atoms (fractional coordinates):
Re  0.250  0.250  0.250
Ba  0.750  0.750  0.750
Br  0.027  0.027  0.027
Br  0.473  0.473  0.473

=====

# 3
Here is an optimized crystal structure of BaReBr2 from Alexandria. Energies are from GGA-PBE.

Cell lengths 5.867, 5.867, 5.708 Å; angles 61.10, 61.10, 49.98 degrees
Atoms (fractional coordinates):
Re  0.750  0.750  0.750
Ba  0.250  0.250  0.250
Br  0.022  0.022  0.977
Br  0.478  0.478  0.523

=====

# 4
Here is an optimized crystal structure of BaReBr6 from Alexandria. Energies are from GGA-PBE.

Cell lengths 7.059, 7.063, 7.685 Å; angles 62.68, 62.74, 60.07 degrees
Atoms (fractional coordinates):
Ba  0.500  0.500  0.500
Re  0.000  0.000  0.000
Br  0.023  0.391  0.778
Br  0.808  0.023  0.778
Br  0.610  0.191  0.222
Br  0.192  0.977  0.222
Br  0.977  0.609  0.222
Br  0.390  0.809  0.778

=====

# 5
Here is an optimized crystal structure of BaReBr2 from Alexandria. Energies are from GGA-PBE.

Cell lengths 3.543, 3.543, 8.942 Å; angles 90.00, 90.00, 89.98 degrees
Atoms (fractional coordinates):
Re  0.000  0.000  0.448
Ba  0.500  0.500  0.738
Br  0.000  0.000  0.967
Br  0.500  0.500  0.348

=====

# 6
Here is an optimized crystal structure of BaReBr2 from Alexandria. Energies are from GGA-PBE.

Cell lengths 9.240, 9.240, 9.240 Å; angles 25.47, 25.47, 25.47 degrees
Atoms (fractional coordinates):
Re  0.520  0.520  0.520
Ba  0.755  0.755  0.755
Br  0.009  0.009  0.009
Br  0.216  0.216  0.216

=====

# 7
Here is an optimized crystal structure of BaReBr2 from Alexandria. Energies are from GGA-PBE.

Cell lengths 5.698, 5.698, 5.698 Å; angles 60.00, 60.00, 60.00 degrees
Atoms (fractional coordinates):
Re  0.750  0.750  0.750
Ba  0.500  0.500  0.500
Br  0.000  0.000  0.000
Br  0.250  0.250  0.250

=====

# 8
Here is an optimized crystal structure of BaReBr2 from Alexandria. Energies are from GGA-PBE.

Cell lengths 7.252, 7.252, 7.252 Å; angles 142.71, 143.32, 53.31 degrees
Atoms (fractional coordinates):
Re  0.486  0.486  0.000
Ba  0.208  0.708  0.500
Br  0.026  0.026  0.000
Br  0.780  0.280  0.500

=====

Summary of ΔE_f (raw) in eV/atom
0.19; 0.29; 0.21; -0.93; 0.14; 0.15; 0.47; 0.25
(order as listed above)
Summary of energy in eV per cell
-13.1; -16.6; -16.9; -31.9; -17.1; -17.1; -15.8; -16.7
(order as listed above)